An optimized crystal structure of BMoF5, computed with PBE with a Hubbard U.

abc: 5.5462 5.5462 7.8698
angles: 107.91 107.91 94.89
Each line ends with the local moment (μB).
Fractional coordinates of all 14 atoms:
F 0.8329 0.3371 0.6582  0.00
F 0.3002 0.3966 0.1133  0.00
F 0.3966 0.3002 0.6133  0.00
F 0.6034 0.6998 0.3867  0.00
F 0.0989 0.9011 0.7500  0.05
F 0.9011 0.0989 0.2500  0.05
F 0.3371 0.8329 0.1582  0.00
F 0.6629 0.1671 0.8418  0.00
F 0.1671 0.6629 0.3418  0.00
F 0.6998 0.6034 0.8867  0.00
Mo 0.0000 0.0000 0.5000  1.82
Mo 0.0000 0.0000 0.0000  1.82
B 0.3526 0.6474 0.2500  0.00
B 0.6474 0.3526 0.7500  0.00

* energy: -79.26 eV for the cell shown
* calculated volume: 215 Å³ per cell
* DOS(E_F): 0.00 states/eV per cell